Pm3Al6Pt5: relaxed, GGA-PBE.

abc: 4.296 9.469 12.929
angles: 90.00 90.00 90.00
Fractional coordinates of all 28 atoms:
1 Al 0.000 0.586 0.318
2 Al 0.000 0.041 0.500
3 Pt 0.500 0.464 0.383
4 Pt 0.000 0.871 0.655
5 Pm 0.500 0.741 0.500
6 Al 0.500 0.414 0.182
7 Al 0.500 0.020 0.653
8 Pt 0.000 0.536 0.117
9 Pt 0.500 0.129 0.845
10 Pm 0.000 0.259 0.000
11 Al 0.500 0.020 0.347
12 Pt 0.000 0.871 0.345
13 Al 0.000 0.980 0.847
14 Al 0.000 0.423 0.500
15 Pt 0.000 0.536 0.883
16 Al 0.000 0.980 0.153
17 Pm 0.500 0.752 0.198
18 Al 0.500 0.414 0.818
19 Pm 0.000 0.248 0.302
20 Pt 0.500 0.129 0.155
21 Al 0.000 0.586 0.682
22 Pt 0.000 0.800 0.000
23 Pm 0.000 0.248 0.698
24 Pm 0.500 0.752 0.802
25 Pt 0.500 0.200 0.500
26 Pt 0.500 0.464 0.617
27 Al 0.500 0.959 0.000
28 Al 0.500 0.577 0.000

**Formation energy**: -1078 meV per atom
**Total energy**: -5.8579 eV per atom
**Size of the total moment**: 0.0 μB/cell
**SG**: No. 59